This record from Alexandria describes a PBEsol-optimized structure of Co2ReNi. The functional is meta-GGA SCAN.

a = 2.552 Å, b = 3.582 Å, c = 4.958 Å
α = 90.00°, β = 90.00°, γ = 90.00°
Each line ends with the local moment (μB).
Fractional coordinates of all 4 atoms:
Re (0.500, 0.500, 0.755)  0.08
Co (0.000, 0.000, 0.005)  1.16
Co (0.500, 0.500, 0.250)  1.80
Ni (0.000, 0.000, 0.491)  0.33

Properties
The calculation puts the total energy at -30.3297 eV/atom. As for the space-group type: Pmm2, No. 25. The calculation puts the density of states at the Fermi level at 3.5 states/eV/f.u. Its formation energy from the elements is 140.1 meV/atom.